[1]
Entry from Alexandria via LeMat-Bulk: a relaxed ScCrSb2 crystal (PBEsol).

It has space group Cmmm (No. 65), with a = 4.165 Å, b = 5.401 Å, c = 7.446 Å, α = 90.00°, β = 90.00° and γ = 90.00°. The inequivalent atoms are Sc at (0.000, 0.000, 0.000), Cr at (0.000, 0.000, 0.500) and Sb at (0.000, 0.500, 0.267).

For the excess energy over the best structure of this formula in the dataset, the calculation gives 0.1 kJ per mole of atoms. Its density is 6.750 g cm⁻³.

[2]
Entry from Alexandria via LeMat-Bulk: a relaxed ScCrSb2Te crystal (PBEsol).

It has space group P4/mmm (No. 123), with a = 5.373 Å, b = 5.373 Å, c = 5.367 Å, α = 90.00°, β = 90.00° and γ = 90.00°. The inequivalent atoms are Sc at (0.000, 0.000, 0.000), Cr at (0.500, 0.500, 0.500), Sb at (0.000, 0.500, 0.000) and Te at (0.000, 0.000, 0.500).

Its density is 5.016 g cm⁻³. The energy is -26.72 eV/cell.

[3]
Entry from Alexandria via LeMat-Bulk: a relaxed CrSb2Se crystal (PBEsol).

It has space group P4/mmm (No. 123), with a = 3.442 Å, b = 3.442 Å, c = 6.866 Å, α = 90.00°, β = 90.00° and γ = 90.00°. The inequivalent atoms are Cr at (0.000, 0.000, 0.000), Sb at (0.500, 0.500, 0.221) and Se at (0.000, 0.000, 0.500).

For the excess energy over the best structure of this formula in the dataset, the calculation gives 0.0 kJ per mole of atoms. Its density is 7.646 g cm⁻³.

[4]
Entry from Alexandria via LeMat-Bulk: a relaxed CrSb2Se crystal (PBEsol).

It has space group Pmmm (No. 47), with a = 3.394 Å, b = 4.941 Å, c = 5.205 Å, α = 90.00°, β = 90.00° and γ = 90.00°. The inequivalent atoms are Cr at (0.000, 0.000, 0.000), Sb at (0.000, 0.500, 0.500), Sb at (0.500, 0.500, 0.000) and Se at (0.500, 0.000, 0.500).

For the excess energy over the best structure of this formula in the dataset, the calculation gives 10.3 kJ per mole of atoms. Its density is 7.125 g cm⁻³.

What are the DOS at the Fermi energy values for these records? In order: 5.58, 3.62, 3.01, 2.08 states/eV per cell.